# 1
DFT (PBE) results for crystalline CeNd12Hg6 at its relaxed geometry.

Calculated values
Space group: No. 148
DFT total energy: -68.44 eV/f.u.
M_tot: 0.789 μB/f.u.
Crystal system: trigonal
N(E_F): 1.31 states/eV/atom

abc: 8.3269 8.3269 8.3269
angles: 88.76 88.76 88.76
Closest atoms and distances in Å follow each position.
Fractional positions:
Ce 0.0000 0.0000 0.0000  6 Hg 3.26, 6 Nd 3.51
Nd 0.8106 0.5353 0.4218  4 Hg 3.21-3.44, 4 Nd 3.43-3.51
Nd 0.4218 0.8106 0.5353  4 Hg 3.21-3.44, 4 Nd 3.43-3.51
Nd 0.5353 0.4218 0.8106  4 Hg 3.21-3.44, 4 Nd 3.43-3.51
Nd 0.1894 0.4647 0.5782  4 Hg 3.21-3.44, 4 Nd 3.43-3.51
Nd 0.5782 0.1894 0.4647  4 Hg 3.21-3.44, 4 Nd 3.43-3.51
Nd 0.4647 0.5782 0.1894  4 Hg 3.21-3.44, 4 Nd 3.43-3.51
Nd 0.0842 0.1216 0.3892  3 Nd 3.05-3.36, 2 Hg 3.31-3.39
Nd 0.8784 0.6108 0.9158  3 Nd 3.05-3.36, 2 Hg 3.31-3.39
Nd 0.6108 0.9158 0.8784  3 Nd 3.05-3.36, 2 Hg 3.31-3.39
Nd 0.9158 0.8784 0.6108  3 Nd 3.05-3.36, 2 Hg 3.31-3.39
Nd 0.1216 0.3892 0.0842  3 Nd 3.05-3.36, 2 Hg 3.31-3.39
Nd 0.3892 0.0842 0.1216  3 Nd 3.05-3.36, 2 Hg 3.31-3.39
Hg 0.7244 0.8774 0.2562  7 Nd 3.21-3.44, 1 Ce 3.26, 2 Hg 3.48
Hg 0.7438 0.2756 0.1226  7 Nd 3.21-3.44, 1 Ce 3.26, 2 Hg 3.48
Hg 0.1226 0.7438 0.2756  7 Nd 3.21-3.44, 1 Ce 3.26, 2 Hg 3.48
Hg 0.2756 0.1226 0.7438  7 Nd 3.21-3.44, 1 Ce 3.26, 2 Hg 3.48
Hg 0.2562 0.7244 0.8774  7 Nd 3.21-3.44, 1 Ce 3.26, 2 Hg 3.48
Hg 0.8774 0.2562 0.7244  7 Nd 3.21-3.44, 1 Ce 3.26, 2 Hg 3.48

# 2
DFT (PBE) results for crystalline NaSr2Cr at its relaxed geometry.

Calculated values
Space group: No. 225
DFT total energy: -12.64 eV/f.u.
Polymorph energy (0 for the lowest one): 0.000 eV per atom
M_tot: 4.820 μB/f.u.
Crystal system: cubic
N(E_F): 1.11 states/eV/atom

abc: 5.9624 5.9624 5.9624
angles: 60.00 60.00 60.00
Closest atoms and distances in Å follow each position.
Fractional positions:
Sr 0.2500 0.2500 0.2500  4 Cr 3.65, 4 Na 3.65
Sr 0.7500 0.7500 0.7500  4 Na 3.65, 4 Cr 3.65
Na 0.0000 0.0000 0.0000  8 Sr 3.65
Cr 0.5000 0.5000 0.5000  8 Sr 3.65

Question: Look up the DFT total energy of the first one.
Answer: -68.44 eV/f.u.

Question: Number 1 is which compound?
Answer: CeNd12Hg6

Please write out number 2 again, unchanged.
DFT (PBE) results for crystalline NaSr2Cr at its relaxed geometry.

Calculated values
Space group: No. 225
DFT total energy: -12.64 eV/f.u.
Polymorph energy (0 for the lowest one): 0.000 eV per atom
M_tot: 4.820 μB/f.u.
Crystal system: cubic
N(E_F): 1.11 states/eV/atom

abc: 5.9624 5.9624 5.9624
angles: 60.00 60.00 60.00
Closest atoms and distances in Å follow each position.
Fractional positions:
Sr 0.2500 0.2500 0.2500  4 Cr 3.65, 4 Na 3.65
Sr 0.7500 0.7500 0.7500  4 Na 3.65, 4 Cr 3.65
Na 0.0000 0.0000 0.0000  8 Sr 3.65
Cr 0.5000 0.5000 0.5000  8 Sr 3.65

Question: Number 2 is which compound?
Answer: NaSr2Cr